(1)
First-principles (PBEsol) data for RbCo2H after structural relaxation, as listed in the Alexandria database.

Calculated values
Spin magnetization in μB/f.u.: 2.3
Uncorrected energy in eV/atom: -4.2030

a b c (Å): 5.4319 5.4319 5.4319
angles (deg): 60.00 60.00 60.00
Last column: magnetic moment on the atom in μB.
Fractional coordinates of all 8 atoms:
Rb 0.2500 0.2500 0.2500  -0.05
Rb 0.0000 0.0000 0.0000  -0.05
H 0.7500 0.7500 0.7500  -0.01
H 0.5000 0.5000 0.5000  -0.01
Co 0.6250 0.6250 0.1250  1.26
Co 0.1250 0.6250 0.6250  1.26
Co 0.6250 0.6250 0.6250  1.26
Co 0.6250 0.1250 0.6250  1.26

(2)
First-principles (PBEsol) data for Co2ReH after structural relaxation, as listed in the Alexandria database.

Calculated values
Spin magnetization in μB/f.u.: 1.8
Uncorrected energy in eV/atom: -7.2689

a b c (Å): 3.8963 3.8963 3.8963
angles (deg): 60.00 60.00 60.00
Last column: magnetic moment on the atom in μB.
Fractional coordinates of all 4 atoms:
Co 0.7500 0.7500 0.7500  0.79
Co 0.2500 0.2500 0.2500  0.79
H 0.0000 0.0000 0.0000  0.00
Re 0.5000 0.5000 0.5000  0.25

(3)
First-principles (PBEsol) data for CoRe3H after structural relaxation, as listed in the Alexandria database.

Calculated values
Spin magnetization in μB/f.u.: 0.0
Uncorrected energy in eV/atom: -10.0322

a b c (Å): 3.8327 3.8327 3.8327
angles (deg): 90.00 90.00 90.00
Fractional coordinates of all 5 atoms:
Re 0.5000 0.0000 0.0000
Re 0.0000 0.0000 0.5000
Re 0.0000 0.5000 0.0000
H 0.0000 0.0000 0.0000
Co 0.5000 0.5000 0.5000

(4)
First-principles (PBEsol) data for CoReHRh2 after structural relaxation, as listed in the Alexandria database.

Calculated values
Spin magnetization in μB/f.u.: 2.3
Uncorrected energy in eV/atom: -6.9456

a b c (Å): 3.1128 4.6955 4.6955
angles (deg): 90.00 90.00 90.00
Last column: magnetic moment on the atom in μB.
Fractional coordinates of all 5 atoms:
H 0.5000 0.0000 0.0000  0.00
Co 0.5000 0.5000 0.5000  1.96
Rh 0.0000 0.5000 0.0000  0.18
Rh 0.0000 0.0000 0.5000  0.18
Re 0.0000 0.0000 0.0000  0.01

(5)
First-principles (PBEsol) data for CoH2Rh after structural relaxation, as listed in the Alexandria database.

Calculated values
Spin magnetization in μB/f.u.: 1.7
Uncorrected energy in eV/atom: -5.5493

a b c (Å): 3.9203 3.9203 4.8291
angles (deg): 113.95 113.95 90.00
Last column: magnetic moment on the atom in μB.
Fractional coordinates of all 8 atoms:
Co 0.5000 0.5000 0.0000  1.28
Co 0.7500 0.2500 0.5000  1.28
Rh 0.0000 0.0000 0.0000  0.49
Rh 0.2500 0.7500 0.5000  0.49
H 0.8501 0.3750 0.2500  -0.01
H 0.1250 0.1499 0.7500  -0.01
H 0.6250 0.6001 0.7500  -0.01
H 0.3999 0.8750 0.2500  -0.01

(6)
First-principles (PBEsol) data for Co2HRu2 after structural relaxation, as listed in the Alexandria database.

Calculated values
Spin magnetization in μB/f.u.: 1.9
Uncorrected energy in eV/atom: -6.9132

a b c (Å): 3.0434 3.0434 6.5649
angles (deg): 103.40 103.40 90.00
Last column: magnetic moment on the atom in μB.
Fractional coordinates of all 5 atoms:
Co 0.7500 0.2500 0.5000  0.94
Co 0.2500 0.7500 0.5000  0.94
Ru 0.4067 0.4067 0.8135  0.01
Ru 0.5933 0.5933 0.1865  0.01
H 0.0000 0.0000 0.0000  -0.01

Repeat the second record exactly.
First-principles (PBEsol) data for Co2ReH after structural relaxation, as listed in the Alexandria database.

Calculated values
Spin magnetization in μB/f.u.: 1.8
Uncorrected energy in eV/atom: -7.2689

a b c (Å): 3.8963 3.8963 3.8963
angles (deg): 60.00 60.00 60.00
Last column: magnetic moment on the atom in μB.
Fractional coordinates of all 4 atoms:
Co 0.7500 0.7500 0.7500  0.79
Co 0.2500 0.2500 0.2500  0.79
H 0.0000 0.0000 0.0000  0.00
Re 0.5000 0.5000 0.5000  0.25

Q: Among the records above, which one has the highest uncorrected energy?
A: RbCo2H

Q: Which of these has the highest uncorrected energy?
A: RbCo2H

Q: Among the records above, which one has the lowest uncorrected energy?
A: CoRe3H